Record 1
The following is a DFT calculation (SCAN) of PtRh2W at its PBEsol-relaxed geometry.

Cell lengths 2.721, 3.822, 5.503 Å; angles 90.00, 90.00, 90.00 degrees
Positions (direct):
Pt  0.000  0.000  0.000
Rh  0.500  0.500  0.255
Rh  0.500  0.500  0.745
W  0.000  0.000  0.500

Results
The volume comes out at 57 Å³ per cell. The value obtained for the raw total energy is -208.34 eV per cell. The energy relative to the elements comes out at -0.23 eV/atom. The space group is No. 47. Its relative energy among the computed polymorphs is 43 meV per atom. The value obtained for the density of states at the Fermi level is 0.823 states/eV per atom.

***

Record 2
The following is a DFT calculation (SCAN) of K2PdF6 at its PBEsol-relaxed geometry.

Cell lengths 5.699, 5.699, 4.628 Å; angles 90.00, 90.00, 120.00 degrees
Positions (direct):
K  0.333  0.667  0.220
K  0.667  0.333  0.780
Pd  0.000  0.000  0.500
F  0.163  0.326  0.726
F  0.163  0.837  0.726
F  0.326  0.163  0.274
F  0.674  0.837  0.726
F  0.837  0.163  0.274
F  0.837  0.674  0.274

Results
The volume comes out at 130 Å³ per cell. The value obtained for the raw total energy is -91.49 eV per cell. The space group is No. 164. The formation energy (no corrections) is -2.31 eV per atom. The value obtained for the density of states at the Fermi level is 0.000 states/eV per atom.

***

Record 3
The following is a DFT calculation (SCAN) of TiCuRu3 at its PBEsol-relaxed geometry.

Cell lengths 4.338, 4.338, 4.338 Å; angles 90.00, 90.00, 90.00 degrees
Positions (direct):
Ti  0.000  0.000  0.000
Cu  0.500  0.500  0.500
Ru  0.000  0.500  0.500
Ru  0.500  0.000  0.500
Ru  0.500  0.500  0.000

Results
The volume comes out at 82 Å³ per cell. The value obtained for the raw total energy is -129.07 eV per cell. The energy relative to the elements comes out at 1.33 eV/atom. The space group is No. 221. The value obtained for the density of states at the Fermi level is 1.942 states/eV per atom.

***

Record 4
The following is a DFT calculation (SCAN) of Mo2IrRh at its PBEsol-relaxed geometry.

Cell lengths 2.739, 3.815, 5.577 Å; angles 90.00, 90.00, 90.00 degrees
Positions (direct):
Mo  0.000  0.000  0.000
Mo  0.500  0.500  0.287
Ir  0.500  0.500  0.780
Rh  0.000  0.000  0.510

Results
The volume comes out at 58 Å³ per cell. The value obtained for the raw total energy is -175.13 eV per cell. The energy relative to the elements comes out at -0.12 eV/atom. The space group is No. 25. Its relative energy among the computed polymorphs is 189 meV per atom. The value obtained for the density of states at the Fermi level is 0.779 states/eV per atom.